GGA-PBEsol TbPRu2C, relaxed; final energy = -8.89 eV per atom; DOS(E_F) = 0.35 states/eV/atom
1.0
3.752 0.000 0.000
-1.876 5.453 0.000
0.000 0.000 6.998
Tb Ru P C
2 4 2 2
Cartesian
0.000 0.491 1.750 Tb
1.876 4.962 5.249 Tb
1.876 1.813 3.880 Ru
0.000 3.640 0.381 Ru
0.000 3.640 3.119 Ru
1.876 1.813 6.618 Ru
1.876 2.933 1.750 P
0.000 2.520 5.249 P
1.876 0.000 0.000 C
1.876 0.000 3.499 C